# 1
A relaxed structure of MnTeOs, computed with PBE.

formation energy without anion corrections	0.580	eV/atom
energy above the most stable polymorph in this dataset	340	meV per atom

Lattice parameters (Å, degrees): 6.1177 6.1177 3.1334 75.16 75.16 29.68
Each line ends with the local moment (μB).
Fractional coordinates of all 3 atoms:
1 Os 0.3341 0.3341 0.6659  0.17
2 Te 0.6905 0.6905 0.3095  0.02
3 Mn 0.9754 0.9754 0.0246  3.87

***

# 2
A relaxed structure of Dy2FeCu, computed with PBE.

energy above the most stable polymorph in this dataset	661	meV per atom

Lattice parameters (Å, degrees): 3.1879 3.1879 10.1315 80.95 80.95 60.00
Each line ends with the local moment (μB).
Fractional coordinates of all 4 atoms:
1 Dy 0.9105 0.9105 0.2685  -0.14
2 Fe 0.0000 0.0000 0.0000  2.60
3 Dy 0.0895 0.0895 0.7315  -0.14
4 Cu 0.5000 0.5000 0.5000  0.00

***

# 3
A relaxed structure of Ba2La2Y, computed with PBE.

Lattice parameters (Å, degrees): 10.1226 10.1226 4.1543 90.00 90.00 90.00
Fractional coordinates of all 10 atoms:
1 La 0.8709 0.6291 0.0000
2 La 0.6291 0.1291 0.0000
3 Ba 0.8250 0.3250 0.5000
4 Y 0.5000 0.5000 0.0000
5 La 0.3709 0.8709 0.0000
6 Ba 0.1750 0.6750 0.5000
7 La 0.1291 0.3709 0.0000
8 Ba 0.6750 0.8250 0.5000
9 Y 0.0000 0.0000 0.0000
10 Ba 0.3250 0.1750 0.5000

***

# 4
A relaxed structure of CrNi6Au, computed with PBE.

Lattice parameters (Å, degrees): 6.2668 6.2668 10.2800 90.00 90.00 109.55
Each line ends with the local moment (μB).
Fractional coordinates of all 32 atoms:
1 Ni 0.6170 0.8613 0.3821  -0.32
2 Cr 0.2521 0.7479 0.7500  1.57
3 Ni 0.1387 0.3830 0.3821  -0.32
4 Ni 0.8709 0.6149 0.8692  -0.17
5 Ni 0.3830 0.1387 0.1178  -0.32
6 Cr 0.5000 0.5000 0.9992  1.60
7 Ni 0.5000 0.5000 0.2500  -0.35
8 Ni 0.1291 0.3851 0.8692  -0.17
9 Ni 0.6170 0.8613 0.1178  -0.32
10 Au 0.2452 0.7548 0.2500  -0.03
11 Ni 0.0000 0.0000 0.7500  -0.10
12 Ni 0.7438 0.2562 0.9888  -0.25
13 Cr 0.7479 0.2521 0.7500  1.57
14 Ni 0.7438 0.2562 0.5111  -0.25
15 Au 0.7548 0.2452 0.2500  -0.03
16 Ni 0.3851 0.1291 0.8692  -0.17
17 Ni 0.5000 0.5000 0.7500  -0.10
18 Au 0.0000 0.0000 0.5024  -0.03
19 Au 0.0000 0.0000 0.9975  -0.03
20 Ni 0.3830 0.1387 0.3821  -0.32
21 Ni 0.2562 0.7438 0.5111  -0.25
22 Ni 0.0000 0.0000 0.2500  -0.29
23 Ni 0.8613 0.6170 0.3821  -0.32
24 Ni 0.6149 0.8709 0.6307  -0.17
25 Ni 0.6149 0.8709 0.8692  -0.17
26 Ni 0.8709 0.6149 0.6307  -0.17
27 Ni 0.2562 0.7438 0.9888  -0.25
28 Ni 0.8613 0.6170 0.1178  -0.32
29 Ni 0.1291 0.3851 0.6307  -0.17
30 Ni 0.1387 0.3830 0.1178  -0.32
31 Ni 0.3851 0.1291 0.6307  -0.17
32 Cr 0.5000 0.5000 0.5008  1.60

***

# 5
A relaxed structure of PSe2Br, computed with PBE.

formation energy without anion corrections	0.104	eV/atom
energy above the most stable polymorph in this dataset	123	meV per atom

Lattice parameters (Å, degrees): 3.6274 6.3555 5.2492 79.75 90.00 90.00
Fractional coordinates of all 4 atoms:
1 Br 0.0000 0.9815 0.5266
2 P 0.5000 0.6396 0.1252
3 Se 0.5000 0.4592 0.8237
4 Se 0.0000 0.9197 0.0244

***

# 6
A relaxed structure of LiTcPd2, computed with PBE.

energy above the most stable polymorph in this dataset	254	meV per atom

Lattice parameters (Å, degrees): 4.3543 4.3543 4.3543 60.00 60.00 60.00
Fractional coordinates of all 4 atoms:
1 Pd 0.2500 0.2500 0.2500
2 Li 0.0000 0.0000 0.0000
3 Tc 0.5000 0.5000 0.5000
4 Pd 0.7500 0.7500 0.7500

***

# 7
A relaxed structure of NaMgNO2, computed with PBE.

formation energy without anion corrections	-0.215	eV/atom

Lattice parameters (Å, degrees): 3.9864 3.9864 4.2933 90.00 90.00 90.00
Each line ends with the local moment (μB).
Fractional coordinates of all 5 atoms:
1 O 0.5000 0.0000 0.0000  0.76
2 O 0.0000 0.5000 0.0000  0.76
3 N 0.0000 0.0000 0.5000  1.49
4 Na 0.5000 0.5000 0.5000  0.00
5 Mg 0.0000 0.0000 0.0000  -0.01

***

# 8
A relaxed structure of CdAu2Cl, computed with PBE.

formation energy without anion corrections	-0.013	eV/atom
energy above the most stable polymorph in this dataset	245	meV per atom

Lattice parameters (Å, degrees): 8.7141 8.7141 8.7141 21.92 21.92 21.92
Fractional coordinates of all 4 atoms:
1 Cd 0.2500 0.2500 0.2500
2 Au 0.9991 0.9991 0.9991
3 Au 0.5009 0.5009 0.5009
4 Cl 0.7500 0.7500 0.7500

***

| no. | total magnetization (μB per formula unit) | uncorrected energy (eV per atom) |
| --- | --- | --- |
| 1 | 4.3 | -7.27 |
| 2 | 2.2 | -4.83 |
| 3 | 0.0 | -3.67 |
| 4 | 0.3 | -5.89 |
| 5 | 0.0 | -3.41 |
| 6 | 0.0 | -5.53 |
| 7 | 4.0 | -4.45 |
| 8 | 0.0 | -2.34 |